Density functional theory data (GGA+U) for Co2F3 after structural relaxation.

Its calculated total energy is -4.8283 eV/atom. The symmetry is R-3c (167). For the theoretical density, the calculation gives 4.9 g/cm3.

a = 5.4502 Å, b = 5.4502 Å, c = 5.4502 Å
α = 61.62°, β = 61.62°, γ = 61.62°
Last column: nearest neighbours and their distance in Å.
Fractional coordinates of all 10 atoms:
Co 0.1567 0.1567 0.1567  6 F 2.12-2.19
Co 0.3433 0.3433 0.3433  6 F 2.12-2.19
Co 0.6567 0.6567 0.6567  6 F 2.12-2.19
Co 0.8433 0.8433 0.8433  6 F 2.12-2.19
F 0.0750 0.7500 0.4250  4 Co 2.12-2.19
F 0.2500 0.5750 0.9250  4 Co 2.12-2.19
F 0.4250 0.0750 0.7500  4 Co 2.12-2.19
F 0.5750 0.9250 0.2500  4 Co 2.12-2.19
F 0.7500 0.4250 0.0750  4 Co 2.12-2.19
F 0.9250 0.2500 0.5750  4 Co 2.12-2.19